Computed, not measured: an optimized crystal structure of Li2InSn3 at the PBE level of DFT.

Values from the calculation:
**Calculated density**: 5.79 Mg/m³
**Crystal system**: orthorhombic
**Total magnetization**: 0.00 μB per cell
**DFT total energy**: -3.278 eV/atom
**Energy relative to the elements**: -0.182 eV per atom

Cell: 4.699 8.979 13.172 Å, 90.00 90.00 90.00°
Space group Imma (No. 74)
Asymmetric unit:
Li 0.000 0.250 0.023
Li 0.000 0.250 0.653
In 0.000 0.250 0.327
Sn 0.000 0.000 0.500
Sn 0.000 0.042 0.836